Cs3K8Cd | PBE-GGA | optimized geometry

**DFT formation energy**: 0.01 eV per atom

Cell lengths 9.6704, 14.8305, 14.8305 Å; angles 120.00, 90.00, 90.00 degrees
With the nearest neighbours (Å) after each atom.
Fractional positions:
K 0.5208 0.0000 0.0000  6 Cs 4.75-4.76, 2 K 4.84
K 0.2700 0.2222 0.7778  1 Cd 3.76
Cs 0.7701 0.1594 0.3188  9 K 4.64-5.10, 1 Cd 5.06
K 0.7700 0.7778 0.5556  1 Cd 3.76
K 0.4915 0.9676 0.4838  1 Cd 3.87
K 0.1412 0.6667 0.3333  1 Cd 3.63
Cs 0.7701 0.6812 0.8406  9 K 4.64-5.10, 1 Cd 5.06
Cs 0.7701 0.1594 0.8406  9 K 4.64-5.10, 1 Cd 5.06
K 0.9915 0.4838 0.9676  1 Cd 3.87
K 0.0208 0.0000 0.0000  6 Cs 4.75-4.76, 2 K 4.84
K 0.4915 0.5162 0.4838  1 Cd 3.87
K 0.7700 0.7778 0.2222  1 Cd 3.76
K 0.2700 0.2222 0.4444  1 Cd 3.76
Cs 0.2701 0.3188 0.1594  9 K 4.64-5.10, 1 Cd 5.06
K 0.9915 0.0324 0.5162  1 Cd 3.87
K 0.4915 0.5162 0.0324  1 Cd 3.87
K 0.2700 0.5556 0.7778  1 Cd 3.76
K 0.7700 0.4444 0.2222  1 Cd 3.76
Cd 0.0163 0.3333 0.6667  7 K 3.63-3.87
K 0.6412 0.3333 0.6667  1 Cd 3.63
Cd 0.5163 0.6667 0.3333  7 K 3.63-3.87
K 0.9915 0.4838 0.5162  1 Cd 3.87
Cs 0.2701 0.8406 0.6812  9 K 4.64-5.10, 1 Cd 5.06
Cs 0.2701 0.8406 0.1594  9 K 4.64-5.10, 1 Cd 5.06